No. 1
# YCdOF2, PBEsol geometry, DFT SCAN
data_YCdOF2
_space_group_name_H-M_alt 'P 1'
_space_group_IT_number 1
_space_group_name_Hall 'P 1'
_cell_length_a 4.334
_cell_length_b 4.334
_cell_length_c 4.403
_cell_angle_alpha 90.00
_cell_angle_beta 90.00
_cell_angle_gamma 90.00
loop_
_atom_site_label
_atom_site_type_symbol
_atom_site_fract_x
_atom_site_fract_y
_atom_site_fract_z
_atom_site_occupancy
F1 F 0.500 0.000 0.000 1
F2 F 0.000 0.500 0.000 1
O1 O 0.000 0.000 0.500 1
Y1 Y 0.000 0.000 0.000 1
Cd1 Cd 0.500 0.500 0.500 1
# raw formation energy	-2.808	eV per atom



No. 2
# Fe2SiW, PBEsol geometry, DFT SCAN
data_Fe2SiW
_space_group_name_H-M_alt 'P 1'
_space_group_IT_number 1
_space_group_name_Hall 'P 1'
_cell_length_a 2.719
_cell_length_b 2.719
_cell_length_c 6.199
_cell_angle_alpha 90.00
_cell_angle_beta 90.00
_cell_angle_gamma 90.00
loop_
_atom_site_label
_atom_site_type_symbol
_atom_site_fract_x
_atom_site_fract_y
_atom_site_fract_z
_atom_site_occupancy
Fe1 Fe 0.000 0.000 0.217 1
Fe2 Fe 0.000 0.000 0.783 1
Si1 Si 0.500 0.500 0.000 1
W1 W 0.500 0.500 0.500 1
# raw formation energy	-0.137	eV per atom



No. 3
# Li2La2Pb, PBEsol geometry, DFT SCAN
data_Li2La2Pb
_space_group_name_H-M_alt 'P 1'
_space_group_IT_number 1
_space_group_name_Hall 'P 1'
_cell_length_a 5.011
_cell_length_b 7.075
_cell_length_c 7.075
_cell_angle_alpha 90.00
_cell_angle_beta 90.00
_cell_angle_gamma 90.00
loop_
_atom_site_label
_atom_site_type_symbol
_atom_site_fract_x
_atom_site_fract_y
_atom_site_fract_z
_atom_site_occupancy
Li1 Li 0.000 0.135 0.365 1
Li2 Li 0.000 0.635 0.135 1
Li3 Li 0.000 0.865 0.635 1
Li4 Li 0.000 0.365 0.865 1
La1 La 0.500 0.674 0.826 1
La2 La 0.500 0.326 0.174 1
La3 La 0.500 0.174 0.674 1
La4 La 0.500 0.826 0.326 1
Pb1 Pb 0.000 0.000 0.000 1
Pb2 Pb 0.000 0.500 0.500 1
# formation energy from the elements	-0.388	eV per atom



No. 4
# In2Hg, PBEsol geometry, DFT SCAN
data_In2Hg
_space_group_name_H-M_alt 'P 1'
_space_group_IT_number 1
_space_group_name_Hall 'P 1'
_cell_length_a 3.356
_cell_length_b 6.094
_cell_length_c 7.898
_cell_angle_alpha 108.54
_cell_angle_beta 90.00
_cell_angle_gamma 105.98
loop_
_atom_site_label
_atom_site_type_symbol
_atom_site_fract_x
_atom_site_fract_y
_atom_site_fract_z
_atom_site_occupancy
Hg1 Hg 0.977 0.954 0.218 1
Hg2 Hg 0.023 0.046 0.782 1
In1 In 0.325 0.649 0.885 1
In2 In 0.646 0.292 0.544 1
In3 In 0.675 0.351 0.115 1
In4 In 0.354 0.708 0.456 1
# formation energy from the elements	0.057	eV per atom
# excess energy over the best structure of this formula in the dataset	60	meV/atom



No. 5
# CrRhSe2, PBEsol geometry, DFT SCAN
data_CrRhSe2
_space_group_name_H-M_alt 'P 1'
_space_group_IT_number 1
_space_group_name_Hall 'P 1'
_cell_length_a 3.045
_cell_length_b 3.045
_cell_length_c 8.074
_cell_angle_alpha 79.13
_cell_angle_beta 79.13
_cell_angle_gamma 60.00
loop_
_atom_site_label
_atom_site_type_symbol
_atom_site_fract_x
_atom_site_fract_y
_atom_site_fract_z
_atom_site_occupancy
Rh1 Rh 0.000 0.000 0.000 1
Se1 Se 0.099 0.099 0.704 1
Se2 Se 0.901 0.901 0.296 1
Cr1 Cr 0.500 0.500 0.500 1
# excess energy over the best structure of this formula in the dataset	4	meV/atom
# raw formation energy	-0.029	eV per atom



No. 6
# RbZn3Te, PBEsol geometry, DFT SCAN
data_RbZn3Te
_space_group_name_H-M_alt 'P 1'
_space_group_IT_number 1
_space_group_name_Hall 'P 1'
_cell_length_a 6.001
_cell_length_b 6.001
_cell_length_c 6.001
_cell_angle_alpha 90.00
_cell_angle_beta 90.00
_cell_angle_gamma 90.00
loop_
_atom_site_label
_atom_site_type_symbol
_atom_site_fract_x
_atom_site_fract_y
_atom_site_fract_z
_atom_site_occupancy
Rb1 Rb 0.000 0.000 0.000 1
Zn1 Zn 0.500 0.000 0.000 1
Zn2 Zn 0.000 0.000 0.500 1
Zn3 Zn 0.000 0.500 0.000 1
Te1 Te 0.500 0.500 0.500 1
# raw formation energy	0.952	eV per atom



No. 7
# NbCr3P6O24, PBEsol geometry, DFT SCAN
data_NbCr3P6O24
_space_group_name_H-M_alt 'P 1'
_space_group_IT_number 1
_space_group_name_Hall 'P 1'
_cell_length_a 8.381
_cell_length_b 8.381
_cell_length_c 8.695
_cell_angle_alpha 61.19
_cell_angle_beta 61.19
_cell_angle_gamma 60.00
loop_
_atom_site_label
_atom_site_type_symbol
_atom_site_fract_x
_atom_site_fract_y
_atom_site_fract_z
_atom_site_occupancy
O1 O 0.581 0.771 0.228 1
O2 O 0.988 0.265 0.415 1
O3 O 0.649 0.015 0.588 1
O4 O 0.332 0.988 0.415 1
O5 O 0.402 0.231 0.775 1
O6 O 0.592 0.402 0.775 1
O7 O 0.495 0.867 0.930 1
O8 O 0.709 0.495 0.930 1
O9 O 0.069 0.685 0.280 1
O10 O 0.265 0.332 0.415 1
O11 O 0.867 0.709 0.930 1
O12 O 0.492 0.131 0.068 1
O13 O 0.015 0.748 0.588 1
O14 O 0.300 0.033 0.718 1
O15 O 0.748 0.649 0.588 1
O16 O 0.949 0.300 0.718 1
O17 O 0.420 0.581 0.228 1
O18 O 0.231 0.592 0.775 1
O19 O 0.033 0.949 0.718 1
O20 O 0.771 0.420 0.228 1
O21 O 0.309 0.492 0.068 1
O22 O 0.967 0.069 0.280 1
O23 O 0.131 0.309 0.068 1
O24 O 0.685 0.967 0.280 1
P1 P 0.967 0.268 0.248 1
P2 P 0.460 0.035 0.755 1
P3 P 0.750 0.460 0.755 1
P4 P 0.517 0.967 0.248 1
P5 P 0.268 0.517 0.248 1
P6 P 0.035 0.750 0.755 1
Cr1 Cr 0.360 0.360 0.920 1
Cr2 Cr 0.642 0.642 0.074 1
Cr3 Cr 0.144 0.144 0.569 1
Nb1 Nb 0.859 0.859 0.422 1
# raw formation energy	-2.340	eV per atom



No. 8
# TlRe2Sb, PBEsol geometry, DFT SCAN
data_TlRe2Sb
_space_group_name_H-M_alt 'P 1'
_space_group_IT_number 1
_space_group_name_Hall 'P 1'
_cell_length_a 3.046
_cell_length_b 3.046
_cell_length_c 8.899
_cell_angle_alpha 90.00
_cell_angle_beta 90.00
_cell_angle_gamma 117.78
loop_
_atom_site_label
_atom_site_type_symbol
_atom_site_fract_x
_atom_site_fract_y
_atom_site_fract_z
_atom_site_occupancy
Tl1 Tl 0.500 0.500 0.000 1
Re1 Re 0.000 0.000 0.265 1
Re2 Re 0.000 0.000 0.735 1
Sb1 Sb 0.500 0.500 0.500 1
# excess energy over the best structure of this formula in the dataset	681	meV/atom
# raw formation energy	1.240	eV per atom



Number 1: D(E_F) 1.35 states/eV per cell, E -85.6 eV for the cell shown. Number 2: D(E_F) 2.47 states/eV per cell, E -116.5 eV for the cell shown. Number 3: D(E_F) 7.53 states/eV per cell, E -337.4 eV for the cell shown. Number 4: D(E_F) 2.55 states/eV per cell, E -269.5 eV for the cell shown. Number 5: D(E_F) 2.88 states/eV per cell, E -92.4 eV for the cell shown. Number 6: D(E_F) 3.98 states/eV per cell, E -93.8 eV for the cell shown. Number 7: D(E_F) 8.79 states/eV per cell, E -379.8 eV for the cell shown. Number 8: D(E_F) 3.28 states/eV per cell, E -246.9 eV for the cell shown.